YNiP2 at its PBEsol-relaxed geometry. Source: Alexandria, functional SCAN.

Lattice parameters (Å, degrees): 3.4367 3.4367 6.0998 90.00 90.00 112.56
Closest atoms and distances in Å follow each position.
Fractional positions:
Ni: 0.5000 0.5000 0.0000  4 P 2.24
P: 0.0000 0.0000 0.1921  2 Ni 2.24, 1 P 2.34
P: 0.0000 0.0000 0.8079  2 Ni 2.24, 1 P 2.34
Y: 0.5000 0.5000 0.5000  4 P 2.68

The formation energy comes out at -0.625 eV per atom. Its raw total energy is -67.3 eV/cell. The value obtained for the volume is 67 Å³ per cell. For the spin magnetization, the calculation gives 0.0 μB/f.u. As for the crystal system: orthorhombic. As for the density of states at the Fermi level: 0.350 states/eV per atom.